1.
Density functional theory data (PBE) for InCoMo2 after structural relaxation.

Output
Calculated total energy, eV/cell: -29.9
Calculated volume, A^3/atom: 15.8
Magnetic moment, μB/cell: 1.242
ΔH_f (0 K), meV per atom: 395

abc: 5.0470 5.0470 2.7950
angles: 90.00 90.00 117.33
Closest atoms and distances in Å follow each position.
Fractional positions:
1 In 0.0000 0.0000 0.0000  2 Co 2.62, 2 In 2.79, 8 Mo 2.88
2 Co 0.5000 0.5000 0.0000  2 In 2.62, 2 Co 2.79, 8 Mo 2.88
3 Mo 0.0000 0.5000 0.5000  4 Mo 2.62-2.79, 4 In 2.88, 4 Co 2.88
4 Mo 0.5000 0.0000 0.5000  4 Mo 2.62-2.79, 4 In 2.88, 4 Co 2.88



2.
Density functional theory data (PBE) for CaLa8Ir4 after structural relaxation.

Output
Calculated total energy, eV/cell: -84.3
Calculated volume, A^3/atom: 35.2
Magnetic moment, μB/cell: 0.000
ΔH_f (0 K), meV per atom: -572

abc: 10.4649 10.4649 13.8857
angles: 130.23 130.23 23.58
Closest atoms and distances in Å follow each position.
Fractional positions:
1 Ca 0.0000 0.0000 0.0000  10 La 4.19-4.31, 2 Ca 4.28
2 La 0.0420 0.0420 0.7395  3 Ir 2.87-2.89
3 La 0.2886 0.2886 0.9271  3 Ir 2.90
4 La 0.3332 0.3332 0.6545  3 Ir 2.89-2.91
5 La 0.3658 0.3658 0.4104  3 Ir 2.88-2.89
6 La 0.6329 0.6329 0.5882  3 Ir 2.88-2.89
7 La 0.6661 0.6661 0.3450  3 Ir 2.89-2.91
8 La 0.7105 0.7105 0.0717  3 Ir 2.90
9 La 0.9571 0.9571 0.2593  3 Ir 2.87-2.89
10 Ir 0.1442 0.1442 0.4612  6 La 2.88-2.91
11 Ir 0.3364 0.3364 0.1759  6 La 2.87-2.90
12 Ir 0.6628 0.6628 0.8230  6 La 2.87-2.90
13 Ir 0.8549 0.8549 0.5381  6 La 2.88-2.91



3.
Density functional theory data (PBE) for Cs2CdPbCl6 after structural relaxation.

Output
Calculated total energy, eV/cell: -32.4
Calculated volume, A^3/atom: 33.6
Magnetic moment, μB/cell: 0.000

abc: 7.8065 7.8065 7.8065
angles: 60.00 60.00 60.00
Closest atoms and distances in Å follow each position.
Fractional positions:
1 Cs 0.2500 0.2500 0.2500  12 Cl 3.90
2 Cs 0.7500 0.7500 0.7500  12 Cl 3.90
3 Cd 0.0000 0.0000 0.0000  6 Cl 2.66
4 Pb 0.5000 0.5000 0.5000  6 Cl 2.86
5 Cl 0.2406 0.2406 0.7594  1 Cd 2.66, 1 Pb 2.86
6 Cl 0.2406 0.7594 0.2406  1 Cd 2.66, 1 Pb 2.86
7 Cl 0.2406 0.7594 0.7594  1 Cd 2.66, 1 Pb 2.86
8 Cl 0.7594 0.2406 0.2406  1 Cd 2.66, 1 Pb 2.86
9 Cl 0.7594 0.2406 0.7594  1 Cd 2.66, 1 Pb 2.86
10 Cl 0.7594 0.7594 0.2406  1 Cd 2.66, 1 Pb 2.86